Entry 1:
First-principles (GGA-PBE) data for a relaxed structure of CsLaZr6CCl18, as listed in Alexandria.

Structure (POSCAR):
```
CsLaZr6CCl18
1.0
9.786 0.000 0.000
-4.893 8.475 0.000
0.000 0.000 18.349
Cs La Zr C Cl
2 2 12 2 36
Cartesian
0.000 5.650 4.587
4.893 2.825 13.762
0.000 5.650 13.762
4.893 2.825 4.587
-0.613 1.766 17.030
-3.670 7.061 10.494
0.613 1.766 10.494
-3.057 8.123 17.030
1.836 0.352 7.855
1.223 1.414 1.319
3.670 7.061 17.030
3.057 8.123 10.494
7.950 0.352 1.319
4.280 6.709 7.855
8.564 1.414 7.855
5.507 6.709 1.319
0.000 0.000 0.000
0.000 0.000 9.175
-0.686 1.965 2.921
-3.535 6.899 6.253
-1.381 3.799 15.383
-2.293 5.380 12.141
-0.653 3.521 9.160
-2.170 6.149 0.015
0.686 1.965 6.253
-2.848 8.087 2.921
2.045 0.388 12.096
1.359 1.577 15.428
0.653 3.521 0.015
-1.517 7.280 9.160
1.381 3.799 12.141
-0.912 7.771 15.383
3.376 1.195 18.335
2.723 2.326 9.189
3.981 0.704 6.208
2.600 3.095 2.967
2.293 5.380 15.383
0.912 7.771 12.141
2.170 6.149 9.160
1.517 7.280 0.015
5.806 0.704 2.967
3.513 4.676 6.208
6.410 1.195 9.189
4.241 4.954 18.335
3.535 6.899 2.921
2.848 8.087 6.253
7.742 0.388 15.428
4.207 6.510 12.096
7.063 2.326 18.335
5.546 4.954 9.189
7.186 3.095 6.208
6.274 4.676 2.967
8.428 1.577 12.096
5.579 6.510 15.428
```

## Properties
Size of the total moment   0.00 μB per formula unit
Calculated total energy   -0.2053 hartree per atom
Space group   No. 163
Energy relative to the elements, uncorrected   -43.84 kcal/mol of atoms
Mass density   3206 kg/m³

Entry 2:
First-principles (GGA-PBE) data for a relaxed structure of NpSe2N2, as listed in Alexandria.

Structure (POSCAR):
```
NpSe2N2
1.0
2.500 -2.502 0.000
2.500 2.502 0.000
-0.201 0.000 10.971
Np Se N
1 2 2
Cartesian
0.000 0.000 0.000
2.299 0.000 9.381
2.500 0.000 1.589
-0.036 0.000 4.932
4.835 0.000 6.039
```

## Properties
Size of the total moment   2.99 μB per formula unit
Calculated total energy   -0.2882 hartree per atom
Space group   No. 12
Energy relative to the elements, uncorrected   -12.21 kcal/mol of atoms
Mass density   5117 kg/m³

Entry 3:
First-principles (GGA-PBE) data for a relaxed structure of RbMgIrF6, as listed in Alexandria.

Structure (POSCAR):
```
RbMgIrF6
1.0
5.409 0.000 0.000
-2.704 4.684 0.000
0.000 0.000 6.183
Rb Mg Ir F
1 1 1 6
Cartesian
0.000 0.000 0.000
0.000 3.123 3.091
2.704 1.561 3.091
-0.978 1.708 4.176
-1.714 2.983 2.007
0.978 1.708 2.007
-0.737 4.677 4.176
1.714 2.983 4.176
0.737 4.677 2.007
```

## Properties
Size of the total moment   0.19 μB per formula unit
Calculated total energy   -0.1813 hartree per atom
Space group   No. 149
Energy relative to the elements, uncorrected   -55.74 kcal/mol of atoms
Mass density   4410 kg/m³

Entry 4:
First-principles (GGA-PBE) data for a relaxed structure of LiHo2Sn, as listed in Alexandria.

Structure (POSCAR):
```
LiHo2Sn
1.0
0.000 3.670 3.670
3.670 0.000 3.670
3.670 3.670 0.000
Li Ho Sn
1 2 1
Cartesian
0.000 0.000 0.000
1.835 1.835 1.835
5.505 5.505 5.505
3.670 3.670 3.670
```

## Properties
Size of the total moment   0.00 μB per formula unit
Calculated total energy   -0.1531 hartree per atom
Space group   No. 225
Energy above the most stable polymorph in this dataset   9.5 meV/atom
ΔH_f (0 K)   -398 meV/atom
Mass density   7651 kg/m³

Entry 5:
First-principles (GGA-PBE) data for a relaxed structure of TiTlIO6, as listed in Alexandria.

Structure (POSCAR):
```
TiTlIO6
1.0
5.248 0.000 0.000
-2.624 4.545 0.000
0.000 0.000 6.296
Ti Tl I O
1 1 1 6
Cartesian
0.000 0.000 0.000
2.624 1.515 3.148
0.000 3.030 0.000
-0.579 1.564 1.090
-1.559 3.262 5.206
0.579 1.564 5.206
-0.980 4.264 1.090
1.559 3.262 1.090
0.980 4.264 5.206
```

## Properties
Size of the total moment   0.00 μB per formula unit
Calculated total energy   -0.2168 hartree per atom
Space group   No. 149
Energy relative to the elements, uncorrected   -29.55 kcal/mol of atoms
Mass density   5253 kg/m³

Entry 6:
First-principles (GGA-PBE) data for a relaxed structure of ZnGa4Sn, as listed in Alexandria.

Structure (POSCAR):
```
ZnGa4Sn
1.0
7.237 -2.958 0.000
7.237 2.958 0.000
-2.531 0.000 5.769
Zn Ga Sn
2 8 2
Cartesian
0.246 0.000 1.423
11.696 0.000 4.345
5.480 1.350 0.094
1.004 0.000 4.229
5.971 1.331 2.884
6.463 1.350 5.675
5.480 -1.350 0.094
5.971 -1.331 2.884
10.939 0.000 1.540
6.463 -1.350 5.675
3.158 0.000 2.201
8.785 0.000 3.568
```

## Properties
Size of the total moment   0.00 μB per formula unit
Calculated total energy   -0.1044 hartree per atom
Space group   No. 12
Energy above the most stable polymorph in this dataset   0.0 meV/atom
ΔH_f (0 K)   57 meV/atom
Mass density   6226 kg/m³

Entry 7:
First-principles (GGA-PBE) data for a relaxed structure of CeSmMg6, as listed in Alexandria.

Structure (POSCAR):
```
CeSmMg6
1.0
6.766 0.000 0.000
-3.383 5.859 0.000
0.000 0.000 5.215
Ce Sm Mg
1 1 6
Cartesian
0.000 0.000 0.000
3.383 1.953 2.608
-1.649 2.954 0.000
0.000 1.991 2.608
-1.659 4.864 2.608
1.649 2.954 0.000
0.000 5.811 0.000
1.659 4.864 2.608
```

## Properties
Size of the total moment   1.06 μB per formula unit
Calculated total energy   -0.0942 hartree per atom
Space group   No. 187
ΔH_f (0 K)   -36 meV/atom
Mass density   3504 kg/m³

Entry 8:
First-principles (GGA-PBE) data for a relaxed structure of Y7Pt3, as listed in Alexandria.

Structure (POSCAR):
```
Y7Pt3
1.0
9.916 0.000 0.000
-4.958 8.587 0.000
0.000 0.000 6.329
Y Pt
14 6
Cartesian
-1.891 4.633 0.000
0.000 2.174 1.975
-3.075 7.500 1.975
1.883 1.087 5.139
0.000 5.725 3.185
1.891 4.633 0.000
0.000 7.909 0.000
4.958 0.679 3.164
3.067 3.954 3.164
4.958 2.862 0.021
3.075 7.500 1.975
8.033 1.087 5.139
4.958 6.413 5.139
6.849 3.954 3.164
0.000 3.260 4.672
-2.134 6.957 4.672
2.824 1.630 1.508
2.134 6.957 4.672
7.092 1.630 1.508
4.958 5.327 1.508
```

## Properties
Size of the total moment   2.10 μB per formula unit
Calculated total energy   -0.2634 hartree per atom
Space group   No. 186
ΔH_f (0 K)   -830 meV/atom
Mass density   7442 kg/m³

Entry 9:
First-principles (GGA-PBE) data for a relaxed structure of NpAs4Pd12, as listed in Alexandria.

Structure (POSCAR):
```
NpAs4Pd12
1.0
-4.288 4.288 4.288
4.288 -4.288 4.288
4.288 4.288 -4.288
Np As Pd
1 4 12
Cartesian
0.000 0.000 0.000
2.144 2.144 -2.144
2.144 -2.144 2.144
-2.144 2.144 2.144
2.144 2.144 2.144
2.929 1.393 0.000
5.647 1.393 0.000
4.288 -1.359 2.896
2.896 4.288 -1.359
1.393 0.000 2.929
4.288 1.359 2.896
0.000 2.929 1.393
2.896 4.288 1.359
1.393 0.000 5.647
0.000 5.647 1.393
-1.359 2.896 4.288
1.359 2.896 4.288
```

## Properties
Size of the total moment   4.28 μB per formula unit
Calculated total energy   -0.2088 hartree per atom
Space group   No. 204
ΔH_f (0 K)   -161 meV/atom
Mass density   9547 kg/m³

Entry 10:
First-principles (GGA-PBE) data for a relaxed structure of CaDy3Pb5, as listed in Alexandria.

Structure (POSCAR):
```
CaDy3Pb5
1.0
9.557 0.000 0.000
-4.779 8.277 0.000
0.000 0.000 6.612
Ca Dy Pb
2 6 10
Cartesian
0.000 0.000 0.000
0.000 0.000 3.306
-1.806 3.129 1.653
-2.972 5.148 4.959
3.612 0.000 1.653
1.806 3.129 4.959
5.945 0.000 4.959
2.972 5.148 1.653
-1.412 2.445 4.959
-3.367 5.832 1.653
2.824 0.000 4.959
1.412 2.445 1.653
0.000 5.518 0.000
0.000 5.518 3.306
4.779 2.759 0.000
4.779 2.759 3.306
6.734 0.000 1.653
3.367 5.832 4.959
```

## Properties
Size of the total moment   0.00 μB per formula unit
Calculated total energy   -0.1543 hartree per atom
Space group   No. 193
ΔH_f (0 K)   -381 meV/atom
Mass density   9928 kg/m³

Entry 11:
First-principles (GGA-PBE) data for a relaxed structure of RbSnIO2, as listed in Alexandria.

Structure (POSCAR):
```
RbSnIO2
1.0
4.409 0.000 0.000
0.000 4.409 0.000
0.000 0.000 6.029
Rb Sn I O
1 1 1 2
Cartesian
0.000 0.000 0.000
2.204 2.204 3.015
2.204 2.204 0.000
0.000 2.204 3.015
2.204 0.000 3.015
```

## Properties
Size of the total moment   0.24 μB per formula unit
Calculated total energy   -0.1496 hartree per atom
Space group   No. 123
Energy above the most stable polymorph in this dataset   0.0 meV/atom
Energy relative to the elements, uncorrected   -18.09 kcal/mol of atoms
Mass density   5145 kg/m³

Entry 12:
First-principles (GGA-PBE) data for a relaxed structure of FeRuI3, as listed in Alexandria.

Structure (POSCAR):
```
FeRuI3
1.0
5.125 0.000 0.000
0.000 5.125 0.000
0.000 0.000 5.125
Fe Ru I
1 1 3
Cartesian
0.000 0.000 0.000
2.563 2.563 2.563
0.000 0.000 2.563
0.000 2.563 0.000
2.563 0.000 0.000
```

## Properties
Size of the total moment   0.00 μB per formula unit
Calculated total energy   -0.1146 hartree per atom
Space group   No. 221
Energy above the most stable polymorph in this dataset   447.5 meV/atom
Energy relative to the elements, uncorrected   31.35 kcal/mol of atoms
Mass density   6632 kg/m³